# 1
Compound: PrLuAgPt
Source: Alexandria
Functional: PBE
Structure: relaxed

Output
Its calculated density is 11.05 g cm⁻³. The electronic total energy comes out at -5.26 eV/atom. The energy of formation from the pure elements comes out at -0.72 eV/atom. As for the space-group type: F-43m, No. 216.

Cell and atoms, written as POSCAR:
```
PrLuAgPt
1.0
0.000 3.596 3.596
3.596 0.000 3.596
3.596 3.596 0.000
Pr Lu Ag Pt
1 1 1 1
direct
0.000 0.000 0.000
0.500 0.500 0.500
0.250 0.250 0.250
0.750 0.750 0.750
```



# 2
Compound: PrLuSiAg
Source: Alexandria
Functional: PBE
Structure: relaxed

Output
Its calculated density is 7.95 g cm⁻³. The electronic total energy comes out at -4.78 eV/atom. The uncorrected formation energy comes out at -390 meV per atom. As for the space-group type: F-43m, No. 216.

Cell and atoms, written as POSCAR:
```
PrLuSiAg
1.0
0.000 3.613 3.613
3.613 0.000 3.613
3.613 3.613 0.000
Pr Lu Si Ag
1 1 1 1
direct
0.000 0.000 0.000
0.500 0.500 0.500
0.750 0.750 0.750
0.250 0.250 0.250
```



# 3
Compound: PrSmLuAg
Source: Alexandria
Functional: PBE
Structure: relaxed

Output
Its calculated density is 8.31 g cm⁻³. The electronic total energy comes out at -4.18 eV/atom. The energy of formation from the pure elements comes out at 0.04 eV/atom. As for the space-group type: F-43m, No. 216.

Cell and atoms, written as POSCAR:
```
PrSmLuAg
1.0
0.000 3.856 3.856
3.856 0.000 3.856
3.856 3.856 0.000
Pr Sm Lu Ag
1 1 1 1
direct
0.000 0.000 0.000
0.500 0.500 0.500
0.750 0.750 0.750
0.250 0.250 0.250
```



# 4
Compound: TbPrLuAg
Source: Alexandria
Functional: PBE
Structure: relaxed

Output
Its calculated density is 8.57 g cm⁻³. The electronic total energy comes out at -4.15 eV/atom. The energy of formation from the pure elements comes out at 0.04 eV/atom. As for the space-group type: F-43m, No. 216.

Cell and atoms, written as POSCAR:
```
TbPrLuAg
1.0
0.000 3.836 3.836
3.836 0.000 3.836
3.836 3.836 0.000
Tb Pr Lu Ag
1 1 1 1
direct
0.000 0.000 0.000
0.500 0.500 0.500
0.250 0.250 0.250
0.750 0.750 0.750
```



# 5
Compound: PrYLuAg
Source: Alexandria
Functional: PBE
Structure: relaxed

Output
Its calculated density is 7.53 g cm⁻³. The electronic total energy comes out at -4.61 eV/atom. The energy of formation from the pure elements comes out at 0.04 eV/atom. As for the space-group type: F-43m, No. 216.

Cell and atoms, written as POSCAR:
```
PrYLuAg
1.0
0.000 3.839 3.839
3.839 0.000 3.839
3.839 3.839 0.000
Pr Y Lu Ag
1 1 1 1
direct
0.000 0.000 0.000
0.500 0.500 0.500
0.750 0.750 0.750
0.250 0.250 0.250
```



# 6
Compound: PrLuZnAg
Source: Alexandria
Functional: PBE
Structure: relaxed

Output
Its calculated density is 8.37 g cm⁻³. The electronic total energy comes out at -3.64 eV/atom. The energy of formation from the pure elements comes out at -0.29 eV/atom. As for the space-group type: F-43m, No. 216.

Cell and atoms, written as POSCAR:
```
PrLuZnAg
1.0
0.000 3.648 3.648
3.648 0.000 3.648
3.648 3.648 0.000
Pr Lu Zn Ag
1 1 1 1
direct
0.000 0.000 0.000
0.500 0.500 0.500
0.250 0.250 0.250
0.750 0.750 0.750
```



# 7
Compound: LuAgPt4
Source: Alexandria
Functional: PBE
Structure: relaxed

Output
Its calculated density is 16.46 g cm⁻³. The electronic total energy comes out at -5.94 eV/atom. The energy of formation from the pure elements comes out at -0.68 eV/atom. As for the space-group type: F-43m, No. 216.

Cell and atoms, written as POSCAR:
```
LuAgPt4
1.0
0.000 3.771 3.771
3.771 0.000 3.771
3.771 3.771 0.000
Lu Ag Pt
1 1 4
direct
0.000 0.000 0.000
0.250 0.250 0.250
0.126 0.625 0.625
0.625 0.126 0.625
0.625 0.625 0.126
0.625 0.625 0.625
```



# 8
Compound: LuAg2Pt
Source: Alexandria
Functional: PBE
Structure: relaxed

Output
Its calculated density is 12.81 g cm⁻³. The electronic total energy comes out at -4.58 eV/atom. The energy of formation from the pure elements comes out at -0.52 eV/atom. As for the space-group type: P4/mmm, No. 123.

Cell and atoms, written as POSCAR:
```
LuAg2Pt
1.0
4.014 0.000 0.000
0.000 4.014 0.000
0.000 0.000 4.715
Lu Ag Pt
1 2 1
direct
0.000 0.000 0.000
0.000 0.500 0.500
0.500 0.000 0.500
0.500 0.500 0.000
```



# 9
Compound: LuAgPt2
Source: Alexandria
Functional: PBE
Structure: relaxed

Output
Its calculated density is 15.33 g cm⁻³. The electronic total energy comes out at -5.61 eV/atom. The energy of formation from the pure elements comes out at -0.74 eV/atom. As for the space-group type: Fm-3m, No. 225.

Cell and atoms, written as POSCAR:
```
LuAgPt2
1.0
0.000 3.315 3.315
3.315 0.000 3.315
3.315 3.315 0.000
Lu Ag Pt
1 1 2
direct
0.000 0.000 0.000
0.500 0.500 0.500
0.250 0.250 0.250
0.750 0.750 0.750
```



# 10
Compound: LuScAgPt
Source: Alexandria
Functional: PBE
Structure: relaxed

Output
Its calculated density is 10.87 g cm⁻³. The electronic total energy comes out at -5.74 eV/atom. The energy of formation from the pure elements comes out at -0.80 eV/atom. As for the space-group type: F-43m, No. 216.

Cell and atoms, written as POSCAR:
```
LuScAgPt
1.0
0.000 3.418 3.418
3.418 0.000 3.418
3.418 3.418 0.000
Lu Sc Ag Pt
1 1 1 1
direct
0.000 0.000 0.000
0.500 0.500 0.500
0.250 0.250 0.250
0.750 0.750 0.750
```



# 11
Compound: LuAgSnPt
Source: Alexandria
Functional: PBE
Structure: relaxed

Output
Its calculated density is 12.54 g cm⁻³. The electronic total energy comes out at -5.02 eV/atom. The energy of formation from the pure elements comes out at -0.67 eV/atom. As for the space-group type: F-43m, No. 216.

Cell and atoms, written as POSCAR:
```
LuAgSnPt
1.0
0.000 3.406 3.406
3.406 0.000 3.406
3.406 3.406 0.000
Lu Ag Sn Pt
1 1 1 1
direct
0.000 0.000 0.000
0.250 0.250 0.250
0.500 0.500 0.500
0.750 0.750 0.750
```



# 12
Compound: SrLuAgPt
Source: Alexandria
Functional: PBE
Structure: relaxed

Output
Its calculated density is 9.94 g cm⁻³. The electronic total energy comes out at -4.34 eV/atom. The energy of formation from the pure elements comes out at -0.56 eV/atom. As for the space-group type: F-43m, No. 216.

Cell and atoms, written as POSCAR:
```
SrLuAgPt
1.0
0.000 3.615 3.615
3.615 0.000 3.615
3.615 3.615 0.000
Sr Lu Ag Pt
1 1 1 1
direct
0.000 0.000 0.000
0.500 0.500 0.500
0.250 0.250 0.250
0.750 0.750 0.750
```